# PBE InBi2HPt, relaxed
# VASP energy	-4.00	eV per atom
# size of the total moment	0.0	μB/f.u.
# ρ	10.74	g/cm³
data_InBi2HPt
_cell_length_a 5.7067
_cell_length_b 5.7067
_cell_length_c 3.4597
_cell_angle_alpha 90.00
_cell_angle_beta 90.00
_cell_angle_gamma 90.00
_symmetry_space_group_name_H-M 'P 4/m m m'
_symmetry_Int_Tables_number 123
_symmetry_space_group_name_Hall '-P 4 2'
loop_
_atom_site_label
_atom_site_type_symbol
_atom_site_fract_x
_atom_site_fract_y
_atom_site_fract_z
In1 In 0.0000 0.0000 0.0000
Bi1 Bi 0.0000 0.5000 0.5000
H1 H 0.5000 0.5000 0.0000
Pt1 Pt 0.5000 0.5000 0.5000


# PBE InBi2H2Pt7, relaxed
# VASP energy	-5.12	eV per atom
# size of the total moment	0.0	μB/f.u.
# ρ	16.28	g/cm³
data_InBi2H2Pt7
_cell_length_a 5.7579
_cell_length_b 5.7699
_cell_length_c 12.0090
_cell_angle_alpha 90.00
_cell_angle_beta 103.72
_cell_angle_gamma 90.00
_symmetry_space_group_name_H-M 'C 1 2/m 1'
_symmetry_Int_Tables_number 12
_symmetry_space_group_name_Hall '-C 2y'
loop_
_atom_site_label
_atom_site_type_symbol
_atom_site_fract_x
_atom_site_fract_y
_atom_site_fract_z
In1 In 0.0000 0.0000 0.0000
Bi1 Bi 0.2028 0.0000 0.4035
H1 H 0.0215 0.5000 0.1663
Pt1 Pt 0.0000 0.5000 0.0000
Pt2 Pt 0.1589 0.2458 0.8232
Pt3 Pt 0.1813 0.5000 0.3501


# PBE RbInBiH, relaxed
# VASP energy	-2.95	eV per atom
# size of the total moment	0.0	μB/f.u.
# ρ	5.14	g/cm³
data_RbInBiH
_cell_length_a 4.7562
_cell_length_b 4.7562
_cell_length_c 20.2980
_cell_angle_alpha 90.00
_cell_angle_beta 90.00
_cell_angle_gamma 120.00
_symmetry_space_group_name_H-M 'R 3 m'
_symmetry_Int_Tables_number 160
_symmetry_space_group_name_Hall 'R 3 -2"'
loop_
_atom_site_label
_atom_site_type_symbol
_atom_site_fract_x
_atom_site_fract_y
_atom_site_fract_z
Rb1 Rb 0.0000 0.0000 0.0000
In1 In 0.0000 0.0000 0.4772
Bi1 Bi 0.0000 0.0000 0.1987
H1 H 0.0000 0.0000 0.3858


# PBE Rb2InBiH, relaxed
# VASP energy	-2.59	eV per atom
# size of the total moment	0.0	μB/f.u.
# ρ	4.40	g/cm³
data_Rb2InBiH
_cell_length_a 7.5820
_cell_length_b 5.7424
_cell_length_c 9.0077
_cell_angle_alpha 90.00
_cell_angle_beta 107.23
_cell_angle_gamma 90.00
_symmetry_space_group_name_H-M 'P 1 21/m 1'
_symmetry_Int_Tables_number 11
_symmetry_space_group_name_Hall '-P 2yb'
loop_
_atom_site_label
_atom_site_type_symbol
_atom_site_fract_x
_atom_site_fract_y
_atom_site_fract_z
Rb1 Rb 0.1231 0.2500 0.3775
Rb2 Rb 0.2500 0.2500 0.9252
In1 In 0.4305 0.7500 0.3361
Bi1 Bi 0.4045 0.7500 0.6832
H1 H 0.1686 0.7500 0.2183


# PBE Sc4InBiH, relaxed
# VASP energy	-5.52	eV per atom
# size of the total moment	0.9	μB/f.u.
# ρ	5.72	g/cm³
data_Sc4InBiH
_cell_length_a 6.0707
_cell_length_b 15.8686
_cell_length_c 6.0821
_cell_angle_alpha 90.00
_cell_angle_beta 90.00
_cell_angle_gamma 90.00
_symmetry_space_group_name_H-M 'C m c m'
_symmetry_Int_Tables_number 63
_symmetry_space_group_name_Hall '-C 2c 2'
loop_
_atom_site_label
_atom_site_type_symbol
_atom_site_fract_x
_atom_site_fract_y
_atom_site_fract_z
Sc1 Sc 0.0000 0.0728 0.2500
Sc2 Sc 0.0000 0.4191 0.2500
Sc3 Sc 0.2500 0.2500 0.0000
In1 In 0.0000 0.1131 0.7500
Bi1 Bi 0.0000 0.3916 0.7500
H1 H 0.0000 0.2843 0.2500


# PBE InSnBi2H, relaxed
# VASP energy	-3.33	eV per atom
# size of the total moment	0.0	μB/f.u.
# relative energy among the computed polymorphs	0	meV per atom
# ρ	8.04	g/cm³
data_InSnBi2H
_cell_length_a 6.1089
_cell_length_b 6.1089
_cell_length_c 3.6113
_cell_angle_alpha 90.00
_cell_angle_beta 90.00
_cell_angle_gamma 90.00
_symmetry_space_group_name_H-M 'P 4/m m m'
_symmetry_Int_Tables_number 123
_symmetry_space_group_name_Hall '-P 4 2'
loop_
_atom_site_label
_atom_site_type_symbol
_atom_site_fract_x
_atom_site_fract_y
_atom_site_fract_z
In1 In 0.0000 0.0000 0.0000
Sn1 Sn 0.5000 0.5000 0.5000
Bi1 Bi 0.0000 0.5000 0.0000
H1 H 0.0000 0.0000 0.5000


# PBE InSnBi2H, relaxed
# VASP energy	-3.32	eV per atom
# size of the total moment	0.0	μB/f.u.
# relative energy among the computed polymorphs	15	meV per atom
# ρ	7.55	g/cm³
data_InSnBi2H
_cell_length_a 6.2182
_cell_length_b 6.2182
_cell_length_c 3.7113
_cell_angle_alpha 90.00
_cell_angle_beta 90.00
_cell_angle_gamma 90.00
_symmetry_space_group_name_H-M 'P 4/m m m'
_symmetry_Int_Tables_number 123
_symmetry_space_group_name_Hall '-P 4 2'
loop_
_atom_site_label
_atom_site_type_symbol
_atom_site_fract_x
_atom_site_fract_y
_atom_site_fract_z
In1 In 0.0000 0.0000 0.0000
Sn1 Sn 0.5000 0.5000 0.5000
Bi1 Bi 0.0000 0.5000 0.5000
H1 H 0.5000 0.5000 0.0000


# PBE SrIn2BiH, relaxed
# VASP energy	-3.10	eV per atom
# size of the total moment	0.0	μB/f.u.
# ρ	6.93	g/cm³
data_SrIn2BiH
_cell_length_a 5.0246
_cell_length_b 5.0246
_cell_length_c 5.0050
_cell_angle_alpha 90.00
_cell_angle_beta 90.00
_cell_angle_gamma 90.00
_symmetry_space_group_name_H-M 'P 4/m m m'
_symmetry_Int_Tables_number 123
_symmetry_space_group_name_Hall '-P 4 2'
loop_
_atom_site_label
_atom_site_type_symbol
_atom_site_fract_x
_atom_site_fract_y
_atom_site_fract_z
Sr1 Sr 0.0000 0.0000 0.0000
In1 In 0.0000 0.5000 0.5000
Bi1 Bi 0.5000 0.5000 0.0000
H1 H 0.0000 0.0000 0.5000


# PBE SrInBiH, relaxed
# VASP energy	-3.24	eV per atom
# size of the total moment	0.0	μB/f.u.
# ρ	6.49	g/cm³
data_SrInBiH
_cell_length_a 4.6331
_cell_length_b 4.6331
_cell_length_c 9.8353
_cell_angle_alpha 90.00
_cell_angle_beta 90.00
_cell_angle_gamma 90.00
_symmetry_space_group_name_H-M 'P 4/n m m'
_symmetry_Int_Tables_number 129
loop_
_symmetry_equiv_pos_as_xyz
'x,y,z'
'-x,-y,-z'
'-y+1/2,x,z'
'y+1/2,-x,-z'
'-x+1/2,-y+1/2,z'
'x+1/2,y+1/2,-z'
'y,-x+1/2,z'
'-y,x+1/2,-z'
'x+1/2,-y,-z'
'-x+1/2,y,z'
'-y,-x,-z'
'y,x,z'
'-x,y+1/2,-z'
'x,-y+1/2,z'
'y+1/2,x+1/2,-z'
'-y+1/2,-x+1/2,z'
loop_
_atom_site_label
_atom_site_type_symbol
_atom_site_fract_x
_atom_site_fract_y
_atom_site_fract_z
Sr1 Sr 0.2500 0.2500 0.1187
In1 In 0.2500 0.7500 0.5000
Bi1 Bi 0.2500 0.2500 0.7276
H1 H 0.2500 0.7500 0.0000


# PBE Sr2InBiH, relaxed
# VASP energy	-3.13	eV per atom
# size of the total moment	0.0	μB/f.u.
# ρ	6.00	g/cm³
data_Sr2InBiH
_cell_length_a 5.4408
_cell_length_b 5.4408
_cell_length_c 4.6726
_cell_angle_alpha 90.00
_cell_angle_beta 90.00
_cell_angle_gamma 90.00
_symmetry_space_group_name_H-M 'P 4/m m m'
_symmetry_Int_Tables_number 123
_symmetry_space_group_name_Hall '-P 4 2'
loop_
_atom_site_label
_atom_site_type_symbol
_atom_site_fract_x
_atom_site_fract_y
_atom_site_fract_z
Sr1 Sr 0.0000 0.5000 0.0000
In1 In 0.0000 0.0000 0.5000
Bi1 Bi 0.5000 0.5000 0.5000
H1 H 0.0000 0.0000 0.0000


# PBE Tb4InBiH, relaxed
# VASP energy	-4.60	eV per atom
# size of the total moment	0.0	μB/f.u.
# ρ	8.89	g/cm³
data_Tb4InBiH
_cell_length_a 6.4738
_cell_length_b 17.0671
_cell_length_c 6.4967
_cell_angle_alpha 90.00
_cell_angle_beta 90.00
_cell_angle_gamma 90.00
_symmetry_space_group_name_H-M 'C m c m'
_symmetry_Int_Tables_number 63
_symmetry_space_group_name_Hall '-C 2c 2'
loop_
_atom_site_label
_atom_site_type_symbol
_atom_site_fract_x
_atom_site_fract_y
_atom_site_fract_z
Tb1 Tb 0.0000 0.0699 0.2500
Tb2 Tb 0.0000 0.4239 0.2500
Tb3 Tb 0.2500 0.2500 0.0000
In1 In 0.0000 0.1140 0.7500
Bi1 Bi 0.0000 0.3896 0.7500
H1 H 0.0000 0.2895 0.2500


# PBE Ti7InBi2H2, relaxed
# VASP energy	-6.29	eV per atom
# size of the total moment	0.0	μB/f.u.
# ρ	7.40	g/cm³
data_Ti7InBi2H2
_cell_length_a 5.7899
_cell_length_b 5.7859
_cell_length_c 11.9223
_cell_angle_alpha 90.00
_cell_angle_beta 102.30
_cell_angle_gamma 90.00
_symmetry_space_group_name_H-M 'C 1 2/m 1'
_symmetry_Int_Tables_number 12
_symmetry_space_group_name_Hall '-C 2y'
loop_
_atom_site_label
_atom_site_type_symbol
_atom_site_fract_x
_atom_site_fract_y
_atom_site_fract_z
Ti1 Ti 0.0000 0.0000 0.0000
Ti2 Ti 0.1657 0.0000 0.3899
Ti3 Ti 0.1689 0.2490 0.8165
In1 In 0.0000 0.5000 0.0000
Bi1 Bi 0.1593 0.5000 0.3669
H1 H 0.0767 0.0000 0.1722


# PBE TlIn2BiH, relaxed
# VASP energy	-2.83	eV per atom
# size of the total moment	0.0	μB/f.u.
# relative energy among the computed polymorphs	30	meV per atom
# ρ	8.62	g/cm³
data_TlIn2BiH
_cell_length_a 5.2446
_cell_length_b 5.2446
_cell_length_c 4.5119
_cell_angle_alpha 90.00
_cell_angle_beta 90.00
_cell_angle_gamma 90.00
_symmetry_space_group_name_H-M 'P 4/m m m'
_symmetry_Int_Tables_number 123
_symmetry_space_group_name_Hall '-P 4 2'
loop_
_atom_site_label
_atom_site_type_symbol
_atom_site_fract_x
_atom_site_fract_y
_atom_site_fract_z
Tl1 Tl 0.0000 0.0000 0.0000
In1 In 0.0000 0.5000 0.5000
Bi1 Bi 0.5000 0.5000 0.0000
H1 H 0.5000 0.5000 0.5000


# PBE TlInBiH2, relaxed
# VASP energy	-2.80	eV per atom
# size of the total moment	0.0	μB/f.u.
# ρ	7.61	g/cm³
data_TlInBiH2
_cell_length_a 4.3043
_cell_length_b 4.3043
_cell_length_c 6.2465
_cell_angle_alpha 90.00
_cell_angle_beta 90.00
_cell_angle_gamma 90.00
_symmetry_space_group_name_H-M 'P 4/m m m'
_symmetry_Int_Tables_number 123
_symmetry_space_group_name_Hall '-P 4 2'
loop_
_atom_site_label
_atom_site_type_symbol
_atom_site_fract_x
_atom_site_fract_y
_atom_site_fract_z
Tl1 Tl 0.0000 0.0000 0.0000
In1 In 0.5000 0.5000 0.5000
Bi1 Bi 0.5000 0.5000 0.0000
H1 H 0.0000 0.5000 0.5000


# PBE TlIn2BiH, relaxed
# VASP energy	-2.86	eV per atom
# size of the total moment	0.0	μB/f.u.
# relative energy among the computed polymorphs	0	meV per atom
# ρ	8.70	g/cm³
data_TlIn2BiH
_cell_length_a 4.9809
_cell_length_b 4.9809
_cell_length_c 4.9539
_cell_angle_alpha 90.00
_cell_angle_beta 90.00
_cell_angle_gamma 90.00
_symmetry_space_group_name_H-M 'P 4/m m m'
_symmetry_Int_Tables_number 123
_symmetry_space_group_name_Hall '-P 4 2'
loop_
_atom_site_label
_atom_site_type_symbol
_atom_site_fract_x
_atom_site_fract_y
_atom_site_fract_z
Tl1 Tl 0.0000 0.0000 0.0000
In1 In 0.0000 0.5000 0.5000
Bi1 Bi 0.5000 0.5000 0.0000
H1 H 0.0000 0.0000 0.5000


# PBE TlIn2BiH, relaxed
# VASP energy	-2.70	eV per atom
# size of the total moment	0.0	μB/f.u.
# relative energy among the computed polymorphs	158	meV per atom
# ρ	8.13	g/cm³
data_TlIn2BiH
_cell_length_a 5.9852
_cell_length_b 5.9852
_cell_length_c 3.6715
_cell_angle_alpha 90.00
_cell_angle_beta 90.00
_cell_angle_gamma 90.00
_symmetry_space_group_name_H-M 'P 4/m m m'
_symmetry_Int_Tables_number 123
_symmetry_space_group_name_Hall '-P 4 2'
loop_
_atom_site_label
_atom_site_type_symbol
_atom_site_fract_x
_atom_site_fract_y
_atom_site_fract_z
Tl1 Tl 0.0000 0.0000 0.0000
In1 In 0.0000 0.5000 0.0000
Bi1 Bi 0.5000 0.5000 0.5000
H1 H 0.0000 0.0000 0.5000


# PBE VInBi2H, relaxed
# VASP energy	-4.05	eV per atom
# size of the total moment	3.3	μB/f.u.
# ρ	8.84	g/cm³
data_VInBi2H
_cell_length_a 4.7552
_cell_length_b 4.7552
_cell_length_c 4.8599
_cell_angle_alpha 90.00
_cell_angle_beta 90.00
_cell_angle_gamma 90.00
_symmetry_space_group_name_H-M 'P 4/m m m'
_symmetry_Int_Tables_number 123
_symmetry_space_group_name_Hall '-P 4 2'
loop_
_atom_site_label
_atom_site_type_symbol
_atom_site_fract_x
_atom_site_fract_y
_atom_site_fract_z
V1 V 0.0000 0.0000 0.0000
In1 In 0.5000 0.5000 0.0000
Bi1 Bi 0.0000 0.5000 0.5000
H1 H 0.5000 0.5000 0.5000


# PBE ZnIn2BiH, relaxed
# VASP energy	-2.59	eV per atom
# size of the total moment	0.0	μB/f.u.
# ρ	7.42	g/cm³
data_ZnIn2BiH
_cell_length_a 5.7133
_cell_length_b 5.7133
_cell_length_c 3.4613
_cell_angle_alpha 90.00
_cell_angle_beta 90.00
_cell_angle_gamma 90.00
_symmetry_space_group_name_H-M 'P 4/m m m'
_symmetry_Int_Tables_number 123
_symmetry_space_group_name_Hall '-P 4 2'
loop_
_atom_site_label
_atom_site_type_symbol
_atom_site_fract_x
_atom_site_fract_y
_atom_site_fract_z
Zn1 Zn 0.0000 0.0000 0.0000
In1 In 0.0000 0.5000 0.0000
Bi1 Bi 0.5000 0.5000 0.5000
H1 H 0.0000 0.0000 0.5000


# PBE Zr7InBi2H2, relaxed
# VASP energy	-6.79	eV per atom
# size of the total moment	0.0	μB/f.u.
# ρ	8.19	g/cm³
data_Zr7InBi2H2
_cell_length_a 6.1265
_cell_length_b 6.1142
_cell_length_c 12.9528
_cell_angle_alpha 90.00
_cell_angle_beta 101.31
_cell_angle_gamma 90.00
_symmetry_space_group_name_H-M 'C 1 2/m 1'
_symmetry_Int_Tables_number 12
_symmetry_space_group_name_Hall '-C 2y'
loop_
_atom_site_label
_atom_site_type_symbol
_atom_site_fract_x
_atom_site_fract_y
_atom_site_fract_z
Zr1 Zr 0.0000 0.0000 0.0000
Zr2 Zr 0.1628 0.0000 0.4032
Zr3 Zr 0.1723 0.2492 0.8140
In1 In 0.0000 0.5000 0.0000
Bi1 Bi 0.1518 0.5000 0.3645
H1 H 0.0704 0.0000 0.1667


# PBE BiH3Ir, relaxed
# VASP energy	-4.28	eV per atom
# size of the total moment	0.0	μB/f.u.
# relative energy among the computed polymorphs	219	meV per atom
# ρ	12.72	g/cm³
data_BiH3Ir
_cell_length_a 3.7508
_cell_length_b 3.7508
_cell_length_c 3.7508
_cell_angle_alpha 90.00
_cell_angle_beta 90.00
_cell_angle_gamma 90.00
_symmetry_space_group_name_H-M 'P m -3 m'
_symmetry_Int_Tables_number 221
_symmetry_space_group_name_Hall '-P 4 2 3'
loop_
_atom_site_label
_atom_site_type_symbol
_atom_site_fract_x
_atom_site_fract_y
_atom_site_fract_z
Bi1 Bi 0.0000 0.0000 0.0000
H1 H 0.0000 0.5000 0.5000
Ir1 Ir 0.5000 0.5000 0.5000


In states/eV/f.u., the N(E_F) values for the records above are, in order, 1.98, 2.49, 0.28, 1.20, 6.36, 2.13, 3.44, 2.14, 2.79, 3.07, 6.65, 10.01, 1.28, 1.42, 1.35, 2.60, 2.91, 1.44, 8.89, 1.00.